Computed, not measured: KNa2CoF6 after structural relaxation at the PBE with a Hubbard U level of DFT. Values from VASP.

Structure (Quantum ESPRESSO input):
```
&SYSTEM
  ibrav = 0, nat = 10, ntyp = 4
/
ATOMIC_SPECIES
K 39.10 K.upf
Na 22.99 Na.upf
Co 58.93 Co.upf
F 19.00 F.upf
ATOMIC_POSITIONS crystal
K 0.5000 0.5000 0.5000
Na 0.2500 0.2500 0.2500
Na 0.7500 0.7500 0.7500
Co 0.0000 0.0000 0.0000
F 0.2165 0.2165 0.7835
F 0.2165 0.7835 0.7835
F 0.7835 0.7835 0.2165
F 0.2165 0.7835 0.2165
F 0.7835 0.2165 0.7835
F 0.7835 0.2165 0.2165
CELL_PARAMETERS angstrom
0.0000 4.2881 4.2881
4.2881 0.0000 4.2881
4.2881 4.2881 0.0000
```

Summary:
crystal system = cubic
E_tot = -0.15844 hartree per atom
space-group type = Fm-3m (225)